1.
AlCrTc2N GGA-PBE optimized geometry; density = 7.545 g cm⁻³; crystal system = tetragonal; formation energy without anion corrections = -0.24 eV/atom; VASP energy = -8.73 eV/atom
1.0
-2.489 -1.463 -2.869
0.146 -3.673 1.747
-3.035 0.911 2.168
N Cr Tc Al
1 1 2 1
Direct
0.000 0.000 0.000
0.000 0.000 0.500
0.500 0.000 0.000
0.000 0.500 0.000
0.500 0.500 0.500

=====

2.
Ti2AlCrN GGA-PBE optimized geometry; density = 4.779 g cm⁻³; crystal system = tetragonal; formation energy without anion corrections = -0.73 eV/atom; VASP energy = -8.23 eV/atom
1.0
-4.140 -0.401 -0.480
0.347 -4.146 0.467
-0.464 0.377 3.692
Ti Cr N Al
2 1 1 1
Direct
0.000 0.500 0.000
0.500 0.000 0.000
0.000 0.000 0.500
0.000 0.000 0.000
0.500 0.500 0.500

=====

3.
AlV2CrN GGA-PBE optimized geometry; density = 5.435 g cm⁻³; crystal system = tetragonal; formation energy without anion corrections = -0.52 eV/atom; VASP energy = -8.50 eV/atom
1.0
3.948 0.000 0.000
0.000 3.948 0.000
0.000 0.000 3.820
Al V N Cr
1 2 1 1
Direct
0.500 0.500 0.500
0.500 0.000 0.000
0.000 0.500 0.000
0.000 0.000 0.000
0.000 0.000 0.500